4
Lattice="4.0922 0.0000 0.0000 0.0000 4.0922 0.0000 0.0000 0.0000 3.3197" Properties=species:S:1:pos:R:3 comment="MgPIr2 | Alexandria | PBE | relaxed" total_magnetization_mub_per_atom=0.00 e_tot_ev_per_atom=-6.42 formation_enthalpy_0k_kj_per_mol_fu=-92 pbc="T T T"
Mg 0.0000 0.0000 0.0000
P 2.0461 2.0461 0.0000
Ir 0.0000 2.0461 1.6599
Ir 2.0461 0.0000 1.6599